Density functional theory data (PBE) for Tb8HgGe5 after structural relaxation.

Cell: 7.7379 7.7379 7.7379 Å, 109.48 109.48 109.46°
Last column: nearest neighbours and their distance in Å.
Element x y z (fractional)
1 Tb 0.0025 0.8846 0.2575  4 Ge 2.90-3.22
2 Tb 0.1154 0.3729 0.1179  4 Ge 2.90-3.22
3 Tb 0.1166 0.3755 0.6079  5 Ge 2.94-3.26, 1 Hg 3.01
4 Tb 0.2550 0.9975 0.8821  4 Ge 2.90-3.22
5 Tb 0.4912 0.8834 0.2589  5 Ge 2.94-3.26, 1 Hg 3.01
6 Tb 0.6245 0.2323 0.7411  5 Ge 2.94-3.26, 1 Hg 3.01
7 Tb 0.6271 0.7450 0.7425  4 Ge 2.90-3.22
8 Tb 0.7677 0.5088 0.3921  5 Ge 2.94-3.26, 1 Hg 3.01
9 Hg 0.5000 0.5000 0.0000  8 Tb 3.01-3.33
10 Ge 0.0000 0.6225 0.8792  6 Tb 2.90-3.23
11 Ge 0.2500 0.7500 0.5000  8 Tb 2.92-3.22
12 Ge 0.3775 0.2567 0.3774  6 Tb 2.90-3.23
13 Ge 0.7433 0.1207 0.1208  6 Tb 2.90-3.23
14 Ge 0.8793 0.0000 0.6226  6 Tb 2.90-3.23

Crystal system: tetragonal
Symmetry: I-4, No. 82
Formation energy, kJ/mol of atoms: -72.91



Density functional theory data (PBE) for Tb5HgGe2 after structural relaxation.

Cell: 8.9218 8.9218 8.9218 Å, 128.52 128.52 75.78°
Last column: nearest neighbours and their distance in Å.
Element x y z (fractional)
1 Tb 0.0000 0.0000 0.0000  4 Ge 3.00
2 Tb 0.0228 0.5228 0.8290  3 Ge 2.94-3.09, 2 Hg 3.27
3 Tb 0.1938 0.0228 0.5000  3 Ge 2.94-3.09, 2 Hg 3.27
4 Tb 0.3062 0.8062 0.8290  3 Ge 2.94-3.09, 2 Hg 3.27
5 Tb 0.4772 0.3062 0.5000  3 Ge 2.94-3.09, 2 Hg 3.27
6 Tb 0.5000 0.5000 0.0000  4 Ge 3.00
7 Tb 0.5228 0.6938 0.5000  3 Ge 2.94-3.09, 2 Hg 3.27
8 Tb 0.6938 0.1938 0.1710  3 Ge 2.94-3.09, 2 Hg 3.27
9 Tb 0.8062 0.9772 0.5000  3 Ge 2.94-3.09, 2 Hg 3.27
10 Tb 0.9772 0.4772 0.1710  3 Ge 2.94-3.09, 2 Hg 3.27
11 Hg 0.2500 0.2500 0.0000  10 Tb 3.27-3.52
12 Hg 0.7500 0.7500 0.0000  10 Tb 3.27-3.52
13 Ge 0.1381 0.3619 0.5000  8 Tb 2.94-3.09, 1 Ge 3.03
14 Ge 0.3619 0.8619 0.2238  8 Tb 2.94-3.09, 1 Ge 3.03
15 Ge 0.6381 0.1381 0.7762  8 Tb 2.94-3.09, 1 Ge 3.03
16 Ge 0.8619 0.6381 0.5000  8 Tb 2.94-3.09, 1 Ge 3.03

Crystal system: tetragonal
Symmetry: I4/mcm, No. 140
Formation energy, kJ/mol of atoms: -60.66



Density functional theory data (PBE) for Tb8HgGe3Te4 after structural relaxation.

Cell: 8.6868 8.6868 8.6868 Å, 58.90 58.90 58.90°
Last column: nearest neighbours and their distance in Å.
Element x y z (fractional)
1 Tb 0.2313 0.7494 0.7494  2 Ge 2.93, 1 Hg 3.04, 3 Te 3.06-3.17
2 Tb 0.2394 0.2394 0.2394  3 Ge 2.92, 3 Te 3.18
3 Tb 0.2506 0.2506 0.7687  2 Ge 2.93, 1 Hg 3.04, 3 Te 3.06-3.17
4 Tb 0.2506 0.7687 0.2506  2 Ge 2.93, 1 Hg 3.04, 3 Te 3.06-3.17
5 Tb 0.7494 0.2313 0.7494  2 Ge 2.93, 1 Hg 3.04, 3 Te 3.06-3.17
6 Tb 0.7494 0.7494 0.2313  2 Ge 2.93, 1 Hg 3.04, 3 Te 3.06-3.17
7 Tb 0.7606 0.7606 0.7606  3 Ge 2.92, 3 Te 3.18
8 Tb 0.7687 0.2506 0.2506  2 Ge 2.93, 1 Hg 3.04, 3 Te 3.06-3.17
9 Hg 0.5000 0.5000 0.5000  6 Tb 3.04
10 Ge 0.0000 0.0000 0.5000  6 Tb 2.92-2.93
11 Ge 0.0000 0.5000 0.0000  6 Tb 2.92-2.93
12 Ge 0.5000 0.0000 0.0000  6 Tb 2.92-2.93
13 Te 0.0000 0.0000 0.0000  6 Tb 3.06
14 Te 0.0000 0.5000 0.5000  6 Tb 3.17-3.18
15 Te 0.5000 0.0000 0.5000  6 Tb 3.17-3.18
16 Te 0.5000 0.5000 0.0000  6 Tb 3.17-3.18

Formation energy (no corrections), eV per atom: -1.098
Crystal system: trigonal
Symmetry: R-3m, No. 166



Density functional theory data (PBE) for Tb6HgGe2Te3 after structural relaxation.

Cell: 9.6926 9.6926 8.7445 Å, 104.88 104.88 25.40°
Last column: nearest neighbours and their distance in Å.
Element x y z (fractional)
1 Tb 0.0075 0.0075 0.2547  1 Ge 2.89, 3 Te 3.05-3.15, 2 Hg 3.06
2 Tb 0.3261 0.3261 0.4352  3 Ge 2.92-2.93, 3 Te 3.19
3 Tb 0.3318 0.3318 0.8960  2 Ge 2.92, 3 Te 3.06-3.19, 1 Hg 3.07
4 Tb 0.6682 0.6682 0.1040  2 Ge 2.92, 3 Te 3.06-3.19, 1 Hg 3.07
5 Tb 0.6739 0.6739 0.5648  3 Ge 2.92-2.93, 3 Te 3.19
6 Tb 0.9925 0.9925 0.7453  1 Ge 2.89, 3 Te 3.05-3.15, 2 Hg 3.06
7 Hg 0.5000 0.5000 0.0000  6 Tb 3.06-3.07
8 Ge 0.1660 0.1660 0.3309  6 Tb 2.89-2.93
9 Ge 0.8340 0.8340 0.6691  6 Tb 2.89-2.93
10 Te 0.1648 0.1648 0.8310  6 Tb 3.06-3.19
11 Te 0.5000 0.5000 0.5000  6 Tb 3.05-3.19
12 Te 0.8352 0.8352 0.1690  6 Tb 3.06-3.19

Formation energy (no corrections), eV per atom: -1.073
Crystal system: monoclinic
Symmetry: C2/m, No. 12



Density functional theory data (PBE) for Tb4HgGeTe2 after structural relaxation.

Cell: 7.3858 4.2425 7.6689 Å, 90.00 108.14 90.00°
Last column: nearest neighbours and their distance in Å.
Element x y z (fractional)
1 Tb 0.2313 0.0000 0.2277  2 Ge 2.93, 1 Hg 3.02, 3 Te 3.08-3.20
2 Tb 0.2433 0.5000 0.7595  1 Ge 2.95, 2 Hg 3.05, 3 Te 3.08-3.15
3 Tb 0.7567 0.5000 0.2405  1 Ge 2.95, 2 Hg 3.05, 3 Te 3.08-3.15
4 Tb 0.7687 0.0000 0.7723  2 Ge 2.93, 1 Hg 3.02, 3 Te 3.08-3.20
5 Hg 0.5000 0.0000 0.0000  6 Tb 3.02-3.05
6 Ge 0.0000 0.5000 0.0000  6 Tb 2.93-2.95
7 Te 0.0000 0.0000 0.5000  6 Tb 3.08
8 Te 0.5000 0.5000 0.5000  6 Tb 3.15-3.20

Formation energy (no corrections), eV per atom: -1.006
Crystal system: monoclinic
Symmetry: P2/m, No. 10



Density functional theory data (PBE) for TbTmHgGe after structural relaxation.

Cell: 5.1310 5.1310 5.1310 Å, 60.00 60.00 60.00°
Last column: nearest neighbours and their distance in Å.
Element x y z (fractional)
1 Tb 0.0000 0.0000 0.0000  4 Ge 3.14, 4 Hg 3.14
2 Tm 0.5000 0.5000 0.5000  4 Hg 3.14, 4 Ge 3.14
3 Hg 0.2500 0.2500 0.2500  4 Tm 3.14, 4 Tb 3.14
4 Ge 0.7500 0.7500 0.7500  4 Tm 3.14, 4 Tb 3.14

Crystal system: cubic
Symmetry: F-43m, No. 216
Formation energy, kJ/mol of atoms: -52.03



Density functional theory data (PBE) for TbYHgGe after structural relaxation.

Cell: 5.1662 5.1662 5.1662 Å, 60.00 60.00 60.00°
Last column: nearest neighbours and their distance in Å.
Element x y z (fractional)
1 Tb 0.0000 0.0000 0.0000  4 Hg 3.16, 4 Ge 3.16
2 Y 0.5000 0.5000 0.5000  4 Ge 3.16, 4 Hg 3.16
3 Hg 0.7500 0.7500 0.7500  4 Y 3.16, 4 Tb 3.16
4 Ge 0.2500 0.2500 0.2500  4 Y 3.16, 4 Tb 3.16

Crystal system: cubic
Symmetry: F-43m, No. 216
Formation energy, kJ/mol of atoms: -54.95



Density functional theory data (PBE) for Tc3HgGe after structural relaxation.

Cell: 4.5890 4.5890 4.5890 Å, 90.00 90.00 90.00°
Last column: nearest neighbours and their distance in Å.
Element x y z (fractional)
1 Tc 0.0000 0.0000 0.5000  2 Ge 2.29
2 Tc 0.0000 0.5000 0.0000  2 Ge 2.29
3 Tc 0.5000 0.0000 0.0000  2 Ge 2.29
4 Hg 0.5000 0.5000 0.5000  12 Tc 3.24
5 Ge 0.0000 0.0000 0.0000  6 Tc 2.29

Crystal system: cubic
Symmetry: Pm-3m, No. 221
Formation energy, kJ/mol of atoms: 122.38



Density functional theory data (PBE) for Tc2HgGe after structural relaxation.

Cell: 9.8828 9.8828 9.8828 Å, 156.77 156.77 33.08°
Last column: nearest neighbours and their distance in Å.
Element x y z (fractional)
1 Tc 0.0391 0.6250 0.9141  2 Tc 2.38, 2 Ge 2.65
2 Tc 0.3750 0.2891 0.4141  2 Tc 2.38, 2 Ge 2.65
3 Tc 0.7109 0.1250 0.0859  2 Tc 2.38, 2 Ge 2.65
4 Tc 0.8750 0.9609 0.5859  2 Tc 2.38, 2 Ge 2.65
5 Hg 0.2500 0.7500 0.5000  4 Ge 2.81, 4 Tc 2.90
6 Hg 0.5000 0.5000 0.0000  4 Ge 2.81, 4 Tc 2.90
7 Ge 0.0000 0.0000 0.0000  4 Tc 2.65, 4 Hg 2.81
8 Ge 0.7500 0.2500 0.5000  4 Tc 2.65, 4 Hg 2.81

Crystal system: tetragonal
Symmetry: I-42d, No. 122
Formation energy, kJ/mol of atoms: 60.67



Density functional theory data (PBE) for Tc2Hg2Ge after structural relaxation.

Cell: 6.3449 6.3449 4.5954 Å, 90.00 90.00 90.00°
Last column: nearest neighbours and their distance in Å.
Element x y z (fractional)
1 Tc 0.1329 0.3671 0.0000  1 Tc 2.39, 2 Ge 2.48
2 Tc 0.3671 0.8671 0.0000  1 Tc 2.39, 2 Ge 2.48
3 Tc 0.6329 0.1329 0.0000  1 Tc 2.39, 2 Ge 2.48
4 Tc 0.8671 0.6329 0.0000  1 Tc 2.39, 2 Ge 2.48
5 Hg 0.1751 0.6751 0.5000  6 Tc 2.87-3.03, 1 Hg 3.14
6 Hg 0.3249 0.1751 0.5000  6 Tc 2.87-3.03, 1 Hg 3.14
7 Hg 0.6751 0.8249 0.5000  6 Tc 2.87-3.03, 1 Hg 3.14
8 Hg 0.8249 0.3249 0.5000  6 Tc 2.87-3.03, 1 Hg 3.14
9 Ge 0.0000 0.0000 0.0000  4 Tc 2.48
10 Ge 0.5000 0.5000 0.0000  4 Tc 2.48

Crystal system: tetragonal
Symmetry: P4/mbm, No. 127
Formation energy, kJ/mol of atoms: 25.19



Density functional theory data (PBE) for Tc3HgGe after structural relaxation.

Cell: 5.1040 5.1040 5.1040 Å, 90.00 90.00 90.00°
Last column: nearest neighbours and their distance in Å.
Element x y z (fractional)
1 Tc 0.0000 0.0000 0.5000  2 Hg 2.55
2 Tc 0.0000 0.5000 0.0000  2 Hg 2.55
3 Tc 0.5000 0.0000 0.0000  2 Hg 2.55
4 Hg 0.0000 0.0000 0.0000  6 Tc 2.55
5 Ge 0.5000 0.5000 0.5000  12 Tc 3.61

Crystal system: cubic
Symmetry: Pm-3m, No. 221
Formation energy, kJ/mol of atoms: 237.75



Density functional theory data (PBE) for Tc2HgGe after structural relaxation.

Cell: 4.4868 4.4868 4.4868 Å, 60.00 60.00 60.00°
Last column: nearest neighbours and their distance in Å.
Element x y z (fractional)
1 Tc 0.2500 0.2500 0.2500  4 Ge 2.75, 4 Hg 2.75
2 Tc 0.7500 0.7500 0.7500  4 Ge 2.75, 4 Hg 2.75
3 Hg 0.0000 0.0000 0.0000  8 Tc 2.75
4 Ge 0.5000 0.5000 0.5000  8 Tc 2.75

Crystal system: cubic
Symmetry: Fm-3m, No. 225
Formation energy, kJ/mol of atoms: 47.60